Record 1
## Dy2InS4 (PBE)

Data for a geometry-optimized Dy2InS4 structure.

Results
**E_form (uncorrected)**: -1019 kJ/mol of formula units
**Fermi-level density of states**: 0.259 states/eV/atom

abc: 6.9474 11.7499 3.8998
angles: 90.00 90.00 90.00
Closest atoms and distances in Å follow each position.
Space group Pbam (No. 55)
Symmetry-distinct sites (fractional):
Dy: 0.0708 0.1741 0.0000 [4 per cell]  6 S 2.71-2.81
In: 0.0000 0.5000 0.5000 [2 per cell]  6 S 2.69-2.71
S: 0.1458 0.7141 0.5000 [4 per cell]  1 In 2.71, 4 Dy 2.79-2.81
S: 0.2410 0.9641 0.0000 [4 per cell]  2 In 2.69, 2 Dy 2.71-2.74

=====

Record 2
## BaLuGa4 (PBE)

Data for a geometry-optimized BaLuGa4 structure.

Results
**Electronic total energy**: -81.766 eV for the cell shown
**Fermi-level density of states**: 0.373 states/eV/atom

abc: 8.1072 8.1072 8.1072
angles: 90.00 90.00 90.00
Closest atoms and distances in Å follow each position.
Space group F-43m (No. 216)
Symmetry-distinct sites (fractional):
Ba: 0.0000 0.0000 0.0000 [4 per cell]  12 Ga 3.36, 4 Lu 3.51
Lu: 0.2500 0.2500 0.2500 [4 per cell]  12 Ga 3.36, 4 Ba 3.51
Ga: 0.1245 0.1245 0.6245 [16 per cell]  6 Ga 2.85-2.88

=====

Record 3
## SrNi2Sb2 (PBE)

Data for a geometry-optimized SrNi2Sb2 structure.

Results
**E_form (uncorrected)**: -183 kJ/mol of formula units
**Fermi-level density of states**: 0.551 states/eV/atom

abc: 6.3089 6.4231 7.2576
angles: 103.42 102.55 119.08
Closest atoms and distances in Å follow each position.
Space group P-1 (No. 2)
Symmetry-distinct sites (fractional):
Sr: 0.1257 0.3754 0.2488 [2 per cell]  6 Ni 3.31-3.58, 5 Sb 3.43-3.69
Ni: 0.1433 0.2497 0.7851 [2 per cell]  4 Sb 2.50-2.61, 1 Ni 2.76
Ni: 0.3575 0.9670 0.2157 [2 per cell]  4 Sb 2.50-2.61, 1 Ni 2.76
Sb: 0.2655 0.0131 0.5363 [2 per cell]  4 Ni 2.50-2.58
Sb: 0.4782 0.7287 0.9586 [2 per cell]  4 Ni 2.50-2.61

=====

Record 4
## Pr6Mg5Bi (PBE)

Data for a geometry-optimized Pr6Mg5Bi structure.

Results
**Electronic total energy**: -86.549 eV for the cell shown
**Fermi-level density of states**: 1.002 states/eV/atom

abc: 5.5691 7.7753 16.7560
angles: 90.00 90.00 90.00
Closest atoms and distances in Å follow each position.
Space group Immm (No. 71)
Symmetry-distinct sites (fractional):
Pr: 0.0000 0.2492 0.0000 [4 per cell]  6 Mg 3.39-3.48, 2 Bi 3.39
Pr: 0.0000 0.2497 0.3321 [8 per cell]  7 Mg 3.30-3.42, 1 Bi 3.42
Mg: 0.0000 0.0000 0.1725 [4 per cell]  8 Pr 3.30-3.48
Mg: 0.0000 0.0000 0.5000 [2 per cell]  8 Pr 3.40-3.42
Mg: 0.0000 0.5000 0.1653 [4 per cell]  8 Pr 3.39-3.41
Bi: 0.0000 0.5000 0.5000 [2 per cell]  8 Pr 3.39-3.42

=====

Record 5
## Rb2AgBi2 (PBE)

Data for a geometry-optimized Rb2AgBi2 structure.

Results
**Electronic total energy**: -27.004 eV for the cell shown
**Fermi-level density of states**: 0.556 states/eV/atom

abc: 7.7911 7.7911 6.1785
angles: 90.00 90.00 90.00
Closest atoms and distances in Å follow each position.
Space group P4/mbm (No. 127)
Symmetry-distinct sites (fractional):
Rb: 0.1672 0.3328 0.0000 [4 per cell]  5 Rb 3.68-4.10, 6 Bi 3.72-3.93
Ag: 0.0000 0.0000 0.5000 [2 per cell]  4 Bi 2.99
Bi: 0.1442 0.6442 0.5000 [4 per cell]  2 Ag 2.99, 1 Bi 3.18

=====

Record 6
## Th2InNi12P3 (PBE)

Data for a geometry-optimized Th2InNi12P3 structure.

Results
**Electronic total energy**: -315.811 eV for the cell shown
**Fermi-level density of states**: 0.605 states/eV/atom

abc: 7.5248 7.5248 17.5964
angles: 90.00 90.00 120.00
Closest atoms and distances in Å follow each position.
Space group R-3m (No. 166, hexagonal axes)
Symmetry-distinct sites (fractional):
Th: 0.0000 0.0000 0.1076 [6 per cell]  6 Ni 2.66-2.78
In: 0.0000 0.0000 0.5000 [3 per cell]  6 Ni 2.51
Ni: 0.0315 0.5158 0.3591 [18 per cell]  2 P 2.13
Ni: 0.0335 0.5168 0.8769 [18 per cell]  1 P 2.18
P: 0.0000 0.5000 0.0000 [9 per cell]  6 Ni 2.13-2.18

=====

Record 7
## NiTePdCl2 (PBE)

Data for a geometry-optimized NiTePdCl2 structure.

Results
**E_form (uncorrected)**: 35 kJ/mol of formula units
**Fermi-level density of states**: 1.192 states/eV/atom

abc: 4.3491 4.3491 5.7125
angles: 90.00 90.00 90.00
Closest atoms and distances in Å follow each position.
Space group P4/mmm (No. 123)
Symmetry-distinct sites (fractional):
Ni: 0.0000 0.0000 0.0000 [1 per cell]  4 Cl 2.17
Te: 0.0000 0.0000 0.5000 [1 per cell]  2 Ni 2.86, 4 Pd 3.08
Pd: 0.5000 0.5000 0.5000 [1 per cell]  4 Te 3.08
Cl: 0.0000 0.5000 0.0000 [2 per cell]  2 Ni 2.17

=====

Record 8
## Cd3Rh2 (PBE)

Data for a geometry-optimized Cd3Rh2 structure.

Results
**Electronic total energy**: -51.978 eV for the cell shown
**Fermi-level density of states**: 0.773 states/eV/atom

abc: 2.9830 2.9830 34.8187
angles: 90.00 90.00 120.00
Closest atoms and distances in Å follow each position.
Space group R-3m (No. 166, hexagonal axes)
Symmetry-distinct sites (fractional):
Cd: 0.0000 0.0000 0.0000 [3 per cell]  6 Rh 2.82, 6 Cd 2.98
Cd: 0.0000 0.0000 0.2054 [6 per cell]  3 Rh 2.82, 6 Cd 2.98
Rh: 0.0000 0.0000 0.3973 [6 per cell]  6 Cd 2.82, 6 Rh 2.98

=====

Record 9
## AlCdN2 (PBE)

Data for a geometry-optimized AlCdN2 structure.

Results
**E_form (uncorrected)**: 49 kJ/mol of formula units
**Fermi-level density of states**: 0.524 states/eV/atom

abc: 3.0595 3.0595 18.5438
angles: 90.00 90.00 120.00
Closest atoms and distances in Å follow each position.
Space group R-3m (No. 166, hexagonal axes)
Symmetry-distinct sites (fractional):
Al: 0.0000 0.0000 0.0000 [3 per cell]  6 N 2.04
Cd: 0.0000 0.0000 0.5000 [3 per cell]  2 N 2.07
N: 0.0000 0.0000 0.3884 [6 per cell]  3 Al 2.04, 1 Cd 2.07

=====

Record 10
## TaNbS2N (PBE)

Data for a geometry-optimized TaNbS2N structure.

Results
**E_form (uncorrected)**: 51 kJ/mol of formula units
**Fermi-level density of states**: 0.972 states/eV/atom

abc: 4.8654 4.8654 3.8726
angles: 90.00 90.00 90.00
Closest atoms and distances in Å follow each position.
Space group P4/mmm (No. 123)
Symmetry-distinct sites (fractional):
Ta: 0.0000 0.0000 0.0000 [1 per cell]  2 N 1.94
Nb: 0.5000 0.5000 0.5000 [1 per cell]  8 S 3.11, 4 N 3.44
S: 0.0000 0.5000 0.0000 [2 per cell]  2 Ta 2.43
N: 0.0000 0.0000 0.5000 [1 per cell]  2 Ta 1.94

=====

Record 11
## TmBeNiC (PBE)

Data for a geometry-optimized TmBeNiC structure.

Results
**Electronic total energy**: -48.364 eV for the cell shown
**Fermi-level density of states**: 0.668 states/eV/atom

abc: 3.5126 3.5126 8.2884
angles: 90.00 90.00 90.00
Closest atoms and distances in Å follow each position.
Space group P4/nmm (No. 129, origin choice 2)
Symmetry-distinct sites (fractional):
Tm: 0.2500 0.2500 0.1523 [2 per cell]  5 C 2.41-2.49
Be: 0.2500 0.2500 0.6605 [2 per cell]  1 C 1.67
Ni: 0.2500 0.7500 0.5000 [2 per cell]  4 Be 2.20
C: 0.2500 0.2500 0.8619 [2 per cell]  1 Be 1.67

=====

Record 12
## RbYHg2F8 (PBE)

Data for a geometry-optimized RbYHg2F8 structure.

Results
**E_form (uncorrected)**: -2924 kJ/mol of formula units
**Fermi-level density of states**: 0.000 states/eV/atom

abc: 4.1835 6.0343 8.3621
angles: 83.22 87.43 82.23
Closest atoms and distances in Å follow each position.
Space group P-1 (No. 2)
Symmetry-distinct sites (fractional):
Rb: 0.0000 0.0000 0.0000 [1 per cell]  8 F 2.70-2.87
Y: 0.0000 0.0000 0.5000 [1 per cell]  8 F 2.20-2.45
Hg: 0.4248 0.4574 0.2283 [2 per cell]  5 F 2.20-2.44
F: 0.0363 0.7475 0.7313 [2 per cell]  1 Y 2.31, 2 Hg 2.42-2.44
F: 0.0784 0.7630 0.3170 [2 per cell]  1 Y 2.20, 1 Hg 2.36
F: 0.4331 0.2965 0.9693 [2 per cell]  1 Hg 2.20
F: 0.4578 0.2013 0.4544 [2 per cell]  1 Hg 2.29, 2 Y 2.40-2.45, 1 F 2.44